(1)
Li5Sb PBEsol optimized geometry; energy relative to the elements, uncorrected = -0.428 eV/atom; ρ = 2.53 Mg/m³; total magnetization = 0.0 μB per formula unit; SG = P-3m1 (164); crystal system = trigonal
1.0
4.556 0.000 0.000
-2.278 3.946 0.000
0.000 0.000 5.717
Li Sb
5 1
direct
0.000 0.000 0.000
0.333 0.667 0.282
0.333 0.667 0.752
0.667 0.333 0.248
0.667 0.333 0.718
0.000 0.000 0.500

(2)
AlAg3Bi PBEsol optimized geometry; ρ = 8.35 Mg/m³; total magnetization = 0.0 μB per formula unit; SG = Pm-3m (221); total DFT energy (no corrections) = -3.2133 eV per atom; crystal system = cubic
1.0
4.809 0.000 0.000
0.000 4.809 0.000
0.000 0.000 4.809
Al Ag Bi
1 3 1
direct
0.000 0.000 0.000
0.000 0.000 0.500
0.000 0.500 0.000
0.500 0.000 0.000
0.500 0.500 0.500

(3)
K2BeHg PBEsol optimized geometry; ρ = 4.27 Mg/m³; total magnetization = 0.0 μB per formula unit; SG = I-4m2 (119); total DFT energy (no corrections) = -1.2121 eV per atom; crystal system = tetragonal
1.0
5.401 0.000 0.000
0.000 5.401 0.000
0.000 0.000 7.678
K Be Hg
4 2 2
direct
0.000 0.000 0.000
0.000 0.500 0.250
0.500 0.000 0.750
0.500 0.500 0.500
0.000 0.000 0.500
0.500 0.500 0.000
0.000 0.500 0.750
0.500 0.000 0.250

(4)
BeAl2Hg PBEsol optimized geometry; ρ = 6.45 Mg/m³; total magnetization = 0.0 μB per formula unit; SG = P2/m (10); total DFT energy (no corrections) = -2.9109 eV per atom; crystal system = monoclinic
1.0
3.439 0.000 0.000
0.000 4.116 0.000
-0.515 0.000 4.795
Be Al Hg
1 2 1
direct
0.000 0.000 0.000
0.324 0.500 0.227
0.676 0.500 0.773
0.000 0.000 0.500